YSi2C | PBE | relaxed

```
16
Lattice="6.351 0.000 0.000 0.000 6.351 0.000 0.000 0.000 6.607" Properties=species:S:1:pos:R:3 pbc="T T T"
Y 0.000 0.000 0.000
Y 0.000 3.176 1.652
Y 3.176 0.000 4.955
Y 3.176 3.176 3.304
Si 0.869 1.588 4.129
Si 1.588 4.044 5.781
Si 1.588 5.483 2.478
Si 2.307 1.588 0.826
Si 4.044 4.764 0.826
Si 4.764 0.869 2.478
Si 4.764 2.307 5.781
Si 5.483 4.764 4.129
C 0.000 0.000 3.304
C 0.000 3.176 4.955
C 3.176 0.000 1.652
C 3.176 3.176 0.000
```

Computed properties:
- theoretical density (g cm⁻³) = 3.91
- spin magnetization (μB per atom) = 0.000
- final energy (eV/atom) = -6.491

Y4Si2C | PBE | relaxed

```
14
Lattice="11.398 0.000 0.000 0.000 3.966 0.000 -4.656 0.000 6.767" Properties=species:S:1:pos:R:3 pbc="T T T"
Y -0.703 0.000 2.350
Y 1.513 1.983 0.519
Y -0.471 0.000 6.248
Y 1.745 1.983 4.417
Y 4.996 1.983 2.350
Y 7.212 0.000 0.519
Y 5.228 1.983 6.248
Y 7.444 0.000 4.417
Si -1.677 1.983 4.397
Si 2.720 0.000 2.370
Si 4.022 0.000 4.397
Si 8.419 1.983 2.370
C 0.000 0.000 0.000
C 5.699 1.983 0.000
```

Computed properties:
- theoretical density (g cm⁻³) = 4.60
- spin magnetization (μB per atom) = 0.095
- final energy (eV/atom) = -7.124

Uncorrected formation energy? In order: 142, -563 meV/atom.